[1]
VASP calculation (PBE) on a relaxed structure of PmGaAu5.

abc: 9.0432 5.6623 11.0472
angles: 90.00 90.00 90.00
Closest atoms and distances in Å follow each position.
Space group Pnma (No. 62)
Asymmetric unit:
Pm: 0.2496 0.2500 0.0619  9 Au 3.10-3.36, 1 Ga 3.20
Ga: 0.1654 0.2500 0.3429  1 Au 2.52
Au: 0.0585 0.5098 0.7915  7 Au 2.72-2.97, 2 Ga 2.86-2.90
Au: 0.0742 0.2500 0.5586  1 Ga 2.52
Au: 0.0974 0.7500 0.0188  6 Au 2.88-3.06, 1 Ga 2.89, 2 Pm 3.18
Au: 0.1829 0.7500 0.2869  6 Au 2.76-3.06, 2 Ga 2.90

Values from the calculation:
Total magnetic moment: 0.00 Bohr magnetons per cell
Energy relative to the lowest polymorph listed for this composition: 0 meV per atom
Volume: 141.42 Å³/f.u.


[2]
VASP calculation (PBE) on a relaxed structure of Pm6Ga3Au.

abc: 8.9587 12.0808 5.1433
angles: 90.00 90.00 90.00
Closest atoms and distances in Å follow each position.
Space group Pnnm (No. 58)
Asymmetric unit:
Pm: 0.0014 0.2486 0.0000  4 Ga 2.99-3.00, 1 Au 3.04
Pm: 0.1657 0.0844 0.5000  3 Ga 3.14-3.41, 1 Au 3.16
Pm: 0.1708 0.4109 0.5000  3 Ga 3.14-3.37, 2 Au 3.18
Ga: 0.0000 0.0000 0.0000  8 Pm 3.00-3.14
Ga: 0.1659 0.7768 0.5000  3 Pm 2.99-3.00
Au: 0.0000 0.5000 0.0000  8 Pm 3.04-3.18

Values from the calculation:
Total magnetic moment: 0.00 Bohr magnetons per cell
Volume: 278.33 Å³/f.u.


[3]
VASP calculation (PBE) on a relaxed structure of PmGa2Au4.

abc: 4.2359 4.2359 31.8058
angles: 90.00 90.00 120.00
Closest atoms and distances in Å follow each position.
Space group R-3m (No. 166, hexagonal axes)
Asymmetric unit:
Pm: 0.0000 0.0000 0.0000  6 Au 3.02
Ga: 0.0000 0.0000 0.1928  5 Au 2.65-2.70, 3 Ga 2.96
Au: 0.0000 0.0000 0.1084  4 Ga 2.65-2.69
Au: 0.0000 0.0000 0.2778  1 Ga 2.70, 3 Au 2.97, 3 Pm 3.02

Values from the calculation:
Total magnetic moment: 0.00 Bohr magnetons per cell
Energy relative to the lowest polymorph listed for this composition: 199 meV per atom
Volume: 164.74 Å³/f.u.


[4]
VASP calculation (PBE) on a relaxed structure of Pm5Ga2Au2.

abc: 16.2293 7.7621 7.7588
angles: 90.00 90.00 90.00
Closest atoms and distances in Å follow each position.
Space group Cmce (No. 64)
Asymmetric unit:
Pm: 0.0000 0.0000 0.0000  4 Ga 3.10-3.11, 2 Au 3.38
Pm: 0.1397 0.1788 0.3281  3 Au 3.04-3.13, 3 Ga 3.21-3.26
Ga: 0.0000 0.1176 0.6180  1 Ga 2.59
Au: 0.2082 0.0000 0.0000  7 Pm 3.04-3.38

Values from the calculation:
Total magnetic moment: 0.00 Bohr magnetons per cell
Volume: 244.35 Å³/f.u.


[5]
VASP calculation (PBE) on a relaxed structure of PmGa4Au4.

abc: 6.2453 6.2453 9.0730
angles: 90.00 90.00 90.00
Closest atoms and distances in Å follow each position.
Space group P4_2/nmc (No. 137, origin choice 2)
Asymmetric unit:
Pm: 0.2500 0.7500 0.2500  4 Au 3.23, 8 Ga 3.50
Ga: 0.0364 0.2500 0.1564  5 Au 2.62-2.74, 1 Ga 2.67
Au: 0.0185 0.2500 0.4463  5 Ga 2.62-2.74, 1 Au 2.89

Values from the calculation:
Total magnetic moment: 0.00 Bohr magnetons per cell
Volume: 176.94 Å³/f.u.


[6]
VASP calculation (PBE) on a relaxed structure of PmGaAu4.

abc: 7.9430 7.9430 7.9430
angles: 90.00 90.00 90.00
Closest atoms and distances in Å follow each position.
Space group F-43m (No. 216)
Asymmetric unit:
Pm: 0.0000 0.0000 0.0000  12 Au 3.29, 4 Ga 3.44
Ga: 0.2500 0.2500 0.7500  12 Au 3.29, 4 Pm 3.44
Au: 0.1247 0.1247 0.3753  6 Au 2.80-2.81

Values from the calculation:
Total magnetic moment: 0.00 Bohr magnetons per cell
Energy relative to the lowest polymorph listed for this composition: 83 meV per atom
Volume: 125.28 Å³/f.u.


What did we get for energy? Answer: -3.87; -4.52; -3.72; -4.65; -3.72; -3.87 eV/atom, in the order shown.
What did we get for DFT formation energy? Answer: -421; -437; -301; -609; -387; -388 meV/atom, in the order shown.